Below is Rb2ErNpS4 after structural relaxation, with properties calculated at the PBE level.

Cell and atoms, written as POSCAR:
```
Rb2ErNpS4
1.0
7.103 0.000 0.000
0.000 4.093 0.000
-2.374 0.000 7.671
Rb Er Np S
2 1 1 4
direct
0.000 0.000 0.000
0.500 0.500 0.000
0.000 0.500 0.500
0.500 0.000 0.500
0.225 0.000 0.691
0.266 0.500 0.310
0.734 0.500 0.690
0.775 0.000 0.309
```

Values from the calculation:
SG	P2/m (10)
energy relative to the elements, uncorrected	-12.74	eV/f.u.
total DFT energy (no corrections)	-6.0864	eV per atom